# CoSnAsO

A relaxed structure of CoSnAsO (GGA+U, the Open Quantum Materials Database).

Summary:
Energy above the lowest structure with this stoichiometry = 50.7 kJ/mol of atoms

```
8
Lattice="4.313 0.000 0.000 0.000 4.313 0.000 0.000 0.000 9.075" Properties=species:S:1:pos:R:3 pbc="T T T"
As 0.000 2.156 2.820
As 2.156 0.000 6.255
Co 0.000 2.156 0.013
Co 2.156 0.000 9.062
O 0.000 0.000 0.000
O 2.156 2.156 0.000
Sn 0.000 0.000 4.537
Sn 2.156 2.156 4.537
```